The following is a PBE calculation of an optimized crystal structure of PuMnFeGe3, from Alexandria via LeMat-Bulk.

Calculated values
Total moment = 10.18 μB/cell
Formation enthalpy at 0 K = -3.78 kJ/mol of atoms

Lattice parameters (Å, degrees): 5.7359 7.4185 6.4171 125.31 90.00 90.00
Closest atoms and distances in Å follow each position.
Positions (direct):
Mn1 0.7500 0.9643 0.9287  5 Ge 2.27-2.40
Fe1 0.2500 0.4623 0.9247  5 Ge 2.20-2.35
Ge1 0.0000 0.2540 0.0000  2 Fe 2.35, 2 Mn 2.40
Pu1 0.2500 0.7590 0.5180  2 Ge 2.87, 1 Mn 2.90, 1 Fe 3.11
Ge2 0.0000 0.7460 0.0000  2 Fe 2.35, 2 Mn 2.40
Ge3 0.5000 0.2540 0.0000  2 Fe 2.35, 2 Mn 2.40
Ge4 0.5000 0.7460 0.0000  2 Fe 2.35, 2 Mn 2.40
Ge5 0.7500 0.7475 0.4950  1 Fe 2.20, 1 Mn 2.27
Ge6 0.2500 0.2525 0.5050  1 Fe 2.20, 1 Mn 2.27
Fe2 0.7500 0.5377 0.0753  5 Ge 2.20-2.35
Mn2 0.2500 0.0357 0.0713  5 Ge 2.27-2.40
Pu2 0.7500 0.2410 0.4820  2 Ge 2.87, 1 Mn 2.90, 1 Fe 3.11

***

The following is a PBE calculation of an optimized crystal structure of MgZr2Te, from Alexandria via LeMat-Bulk.

Calculated values
Total moment = 0.00 μB/cell
Excess energy over the best structure of this formula in the dataset = 0.62 eV/f.u.
Formation energy without anion corrections = -0.6 eV per formula unit

Lattice parameters (Å, degrees): 8.9617 8.9617 8.9617 22.99 22.99 22.99
Closest atoms and distances in Å follow each position.
Positions (direct):
Zr1 0.0028 0.0028 0.0028  3 Te 2.95, 3 Mg 3.05
Zr2 0.4972 0.4972 0.4972  3 Te 2.95, 3 Mg 3.05
Te1 0.7500 0.7500 0.7500  6 Zr 2.95
Mg1 0.2500 0.2500 0.2500  6 Zr 3.05

***

The following is a PBE calculation of an optimized crystal structure of Hg6BiPd12, from Alexandria via LeMat-Bulk.

Calculated values
Total moment = 0.00 μB/cell
Formation enthalpy at 0 K = -1.40 kJ/mol of atoms

Lattice parameters (Å, degrees): 7.2366 7.2366 7.2366 101.45 101.45 101.45
Closest atoms and distances in Å follow each position.
Positions (direct):
Pd1 0.2559 0.7405 0.0010  3 Hg 2.74-3.07, 6 Pd 2.81-3.03, 1 Bi 2.89
Pd2 0.1783 0.5939 0.5965  5 Pd 2.62-2.83, 1 Hg 2.84
Hg1 0.4472 0.1840 0.1783  6 Pd 2.74-3.07, 2 Hg 2.98
Pd3 0.7405 0.0010 0.2559  3 Hg 2.74-3.07, 6 Pd 2.81-3.03, 1 Bi 2.89
Pd4 0.4035 0.8217 0.4061  5 Pd 2.62-2.83, 1 Hg 2.84
Pd5 0.5965 0.1783 0.5939  5 Pd 2.62-2.83, 1 Hg 2.84
Pd6 0.4061 0.4035 0.8217  5 Pd 2.62-2.83, 1 Hg 2.84
Pd7 0.0010 0.2559 0.7405  3 Hg 2.74-3.07, 6 Pd 2.81-3.03, 1 Bi 2.89
Hg2 0.8217 0.5528 0.8160  6 Pd 2.74-3.07, 2 Hg 2.98
Hg3 0.1783 0.4472 0.1840  6 Pd 2.74-3.07, 2 Hg 2.98
Pd8 0.9990 0.7441 0.2595  3 Hg 2.74-3.07, 6 Pd 2.81-3.03, 1 Bi 2.89
Pd9 0.8217 0.4061 0.4035  5 Pd 2.62-2.83, 1 Hg 2.84
Pd10 0.7441 0.2595 0.9990  3 Hg 2.74-3.07, 6 Pd 2.81-3.03, 1 Bi 2.89
Hg4 0.1840 0.1783 0.4472  6 Pd 2.74-3.07, 2 Hg 2.98
Pd11 0.2595 0.9990 0.7441  3 Hg 2.74-3.07, 6 Pd 2.81-3.03, 1 Bi 2.89
Hg5 0.5528 0.8160 0.8217  6 Pd 2.74-3.07, 2 Hg 2.98
Bi1 0.0000 0.0000 0.0000  6 Pd 2.89, 6 Hg 3.14
Hg6 0.8160 0.8217 0.5528  6 Pd 2.74-3.07, 2 Hg 2.98
Pd12 0.5939 0.5965 0.1783  5 Pd 2.62-2.83, 1 Hg 2.84

***

The following is a PBE calculation of an optimized crystal structure of AuICl2, from Alexandria via LeMat-Bulk.

Calculated values
Total moment = 0.00 μB/cell
Excess energy over the best structure of this formula in the dataset = 1.12 eV/f.u.
Formation energy without anion corrections = 0.3 eV per formula unit

Lattice parameters (Å, degrees): 12.6230 12.6230 12.6230 15.46 15.46 15.46
Closest atoms and distances in Å follow each position.
Positions (direct):
Cl1 0.9397 0.9397 0.9397  1 Au 2.26
I1 0.5000 0.5000 0.5000  6 I 3.40
Au1 0.0000 0.0000 0.0000  2 Cl 2.26
Cl2 0.0603 0.0603 0.0603  1 Au 2.26

***

The following is a PBE calculation of an optimized crystal structure of Bi2PdI, from Alexandria via LeMat-Bulk.

Calculated values
Total moment = 0.00 μB/cell
Excess energy over the best structure of this formula in the dataset = 1.38 eV/f.u.
Formation energy without anion corrections = 0.5 eV per formula unit

Lattice parameters (Å, degrees): 7.2610 7.2610 7.7610 62.11 62.11 90.00
Closest atoms and distances in Å follow each position.
Positions (direct):
Bi1 0.2031 0.6250 0.2500  2 Pd 2.64
I1 0.7500 0.2500 0.5000  4 Bi 3.33
Pd1 0.5000 0.5000 0.0000  4 Bi 2.64
Bi2 0.5469 0.1250 0.2500  2 Pd 2.64
Bi3 0.8750 0.7969 0.7500  2 Pd 2.64
I2 0.0000 0.0000 0.0000  4 Bi 3.33
Bi4 0.3750 0.4531 0.7500  2 Pd 2.64
Pd2 0.2500 0.7500 0.5000  4 Bi 2.64

***

The following is a PBE calculation of an optimized crystal structure of TmVRu2, from Alexandria via LeMat-Bulk.

Calculated values
Total moment = 0.00 μB/cell
Formation enthalpy at 0 K = -32.07 kJ/mol of atoms

Lattice parameters (Å, degrees): 3.1345 3.1345 6.5801 90.00 90.00 90.00
Closest atoms and distances in Å follow each position.
Positions (direct):
Ru1 0.0000 0.0000 0.7841  4 V 2.63, 1 Ru 2.84, 4 Tm 2.90
Ru2 0.0000 0.0000 0.2159  4 V 2.63, 1 Ru 2.84, 4 Tm 2.90
V1 0.5000 0.5000 0.0000  8 Ru 2.63
Tm1 0.5000 0.5000 0.5000  8 Ru 2.90, 4 Tm 3.13

***

The following is a PBE calculation of an optimized crystal structure of KScIr2, from Alexandria via LeMat-Bulk.

Calculated values
Total moment = 0.00 μB/cell
Formation enthalpy at 0 K = 35.98 kJ/mol of atoms
Excess energy over the best structure of this formula in the dataset = 1.62 eV/f.u.

Lattice parameters (Å, degrees): 5.5960 5.5960 5.5960 148.23 125.34 64.63
Closest atoms and distances in Å follow each position.
Positions (direct):
K1 0.7500 0.2500 0.5000  4 Sc 2.99, 4 Ir 3.00, 2 K 3.06
Ir1 0.4776 0.4776 0.0000  2 Sc 2.64
Sc1 0.2500 0.7500 0.5000  4 Ir 2.64
Ir2 0.0224 0.0224 0.0000  2 Sc 2.64

***

Q: Look up the total moment of the fifth one.
A: 0.00 μB/cell